This record from the Alexandria database describes a geometry-optimized La2RuS structure. The functional is PBE.

Summary:
* E: -6.7765 eV per atom
* formation energy without anion corrections: -962 meV/atom
* SG: No. 160

```
4
Lattice="4.113 0.000 0.000 2.056 3.562 0.000 2.056 1.187 7.243" Properties=species:S:1:pos:R:3 pbc="T T T"
La 2.056 1.187 5.594
La 2.056 1.187 1.675
Ru 6.169 3.562 7.217
S 4.113 2.374 3.620
```


This record from the Alexandria database describes a geometry-optimized AcHRu structure. The functional is PBE.

Summary:
* E: -5.4016 eV per atom
* SG: No. 187

```
3
Lattice="4.213 0.000 0.000 0.000 3.840 0.000 0.000 -1.920 3.326" Properties=species:S:1:pos:R:3 pbc="T T T"
H 0.704 0.000 2.217
Ac 2.807 1.920 1.109
Ru 0.702 0.000 0.000
```


This record from the Alexandria database describes a geometry-optimized Ba3Mg4Tl4 structure. The functional is PBE.

Summary:
* E: -2.2121 eV per atom
* SG: No. 217
* ΔE_f: -247 meV per atom

```
11
Lattice="-0.094 -3.811 6.856 3.684 -4.371 -5.371 3.773 6.824 0.853" Properties=species:S:1:pos:R:3 pbc="T T T"
Mg 0.931 -1.105 -1.357
Mg -0.024 -0.963 1.732
Mg 5.503 -1.015 1.747
Mg 0.953 1.724 0.216
Tl -0.058 -2.338 4.206
Tl 2.260 -2.682 -3.296
Tl 2.315 4.187 0.524
Tl 2.846 -0.525 0.903
Ba 1.840 1.506 3.854
Ba 3.729 1.226 -2.259
Ba 1.795 -4.091 0.742
```


This record from the Alexandria database describes a geometry-optimized Cs2BaPbBr6 structure. The functional is PBE.

Summary:
* E: -3.3667 eV per atom
* formation energy without anion corrections: -1629 meV/atom
* SG: No. 225

```
10
Lattice="8.729 0.000 0.000 0.000 8.729 0.000 4.365 4.365 6.174" Properties=species:S:1:pos:R:3 pbc="T T T"
Br 2.129 2.129 0.000
Br 6.600 6.600 0.000
Br 8.729 8.729 3.012
Br 6.600 2.129 0.000
Br 2.129 6.600 0.000
Br 4.365 4.365 3.161
Cs 8.729 4.365 3.087
Cs 4.365 8.729 3.087
Pb 0.000 0.000 0.000
Ba 4.365 4.365 0.000
```


This record from the Alexandria database describes a geometry-optimized NaTb4Dy3Se8 structure. The functional is PBE.

Summary:
* E: -5.5919 eV per atom
* formation energy without anion corrections: -1747 meV/atom
* SG: No. 166

```
16
Lattice="8.188 0.000 0.000 0.000 8.190 -0.004 -4.094 -4.090 5.792" Properties=species:S:1:pos:R:3 pbc="T T T"
Dy 2.047 2.050 2.894
Dy 4.094 4.095 -0.002
Dy -2.047 2.050 2.894
Na 0.000 4.095 -0.002
Se -2.049 2.040 5.782
Se 2.045 2.060 0.006
Se 2.049 2.040 5.782
Se 4.094 4.087 2.886
Se 6.143 2.060 0.006
Se 0.000 4.087 2.883
Se 0.000 0.013 2.902
Se 4.094 0.013 2.906
Tb 2.047 -2.045 2.896
Tb 0.000 0.000 0.000
Tb -2.047 -2.045 2.896
Tb 4.094 0.000 0.000
```


This record from the Alexandria database describes a geometry-optimized BeInFe3 structure. The functional is PBE.

Summary:
* E: -5.9886 eV per atom
* SG: No. 221
* ΔE_f: 382 meV per atom

```
5
Lattice="-2.811 2.076 2.025 -2.784 -2.721 -1.076 0.811 -2.145 3.325" Properties=species:S:1:pos:R:3 pbc="T T T"
Fe -1.406 1.038 1.013
Fe 0.406 -1.072 1.663
Fe -1.392 -1.361 -0.538
In -2.392 -1.395 2.137
Be 0.000 0.000 0.000
```


This record from the Alexandria database describes a geometry-optimized Ac3Mg9Ni2 structure. The functional is PBE.

Summary:
* E: -2.7763 eV per atom
* SG: No. 71
* ΔE_f: -45 meV per atom

```
14
Lattice="-0.606 -3.400 3.786 6.801 -5.507 -0.388 5.020 2.665 6.666" Properties=species:S:1:pos:R:3 pbc="T T T"
Ni 5.885 -4.396 3.932
Ni 5.330 -1.847 6.132
Mg 7.907 -5.912 2.893
Mg 6.476 -2.980 8.766
Mg 4.558 -6.063 2.222
Mg 6.657 -0.180 7.842
Mg 3.309 -0.330 7.171
Mg 7.249 -6.522 5.709
Mg 3.967 0.280 4.355
Mg 4.739 -3.262 1.298
Mg 5.911 -1.421 3.139
Ac 0.000 0.000 0.000
Ac 8.054 -3.011 5.522
Ac 3.161 -3.231 4.541
```


This record from the Alexandria database describes a geometry-optimized TcBiClF2 structure. The functional is PBE.

Summary:
* E: -3.9205 eV per atom
* formation energy without anion corrections: 47 meV/atom
* SG: No. 123

```
5
Lattice="4.679 0.000 0.000 0.000 4.344 0.000 0.000 0.000 4.679" Properties=species:S:1:pos:R:3 pbc="T T T"
Bi 2.339 2.172 2.339
Tc 0.000 2.172 0.000
F 2.339 0.000 0.000
F 0.000 0.000 2.339
Cl 0.000 0.000 0.000
```